Record 1
CaTl2Co: optimized geometry, PBE-GGA.

Cell and atoms, written as POSCAR:
```
CaTl2Co
1.0
-1.6612 2.1259 6.8659
1.6612 -2.1259 6.8659
1.6612 2.1259 -6.8659
Ca Tl Co
1 2 1
Direct
0.0000 0.0000 0.0000
0.3552 0.3552 0.0000
0.6798 0.1798 0.5000
0.1862 0.6862 0.5000
```

energy of formation from the pure elements	165	meV per atom
Fermi-level density of states	3.56	states/eV/f.u.
theoretical density	8.7	Mg/m³
symmetry	No. 44


Record 2
TbMgScBe: optimized geometry, PBE-GGA.

Cell and atoms, written as POSCAR:
```
TbMgScBe
1.0
0.0000 3.5014 3.5014
3.5014 0.0000 3.5014
3.5014 3.5014 0.0000
Tb Mg Sc Be
1 1 1 1
Direct
0.0000 0.0000 0.0000
0.2500 0.2500 0.2500
0.5000 0.5000 0.5000
0.7500 0.7500 0.7500
```

energy of formation from the pure elements	84	meV per atom
Fermi-level density of states	4.08	states/eV/f.u.
theoretical density	4.6	Mg/m³
symmetry	No. 216


Record 3
TlIr: optimized geometry, PBE-GGA.

Cell and atoms, written as POSCAR:
```
TlIr
1.0
3.4124 0.0000 0.0000
0.0000 3.4124 0.0000
0.0000 0.0000 8.0263
Tl Ir
2 2
Direct
0.2500 0.2500 0.1766
0.7500 0.7500 0.8234
0.2500 0.2500 0.5510
0.7500 0.7500 0.4490
```

energy of formation from the pure elements	492	meV per atom
Fermi-level density of states	2.07	states/eV/f.u.
theoretical density	14.1	Mg/m³
symmetry	No. 129


Record 4
Pr7GaSn5: optimized geometry, PBE-GGA.

Cell and atoms, written as POSCAR:
```
Pr7GaSn5
1.0
-3.1918 5.8470 5.4773
3.1918 -5.8470 5.4773
3.1918 5.8470 -5.4773
Pr Ga Sn
7 1 5
Direct
0.0000 0.0000 0.0000
0.2985 0.6276 0.6709
0.4107 0.4107 0.0000
0.4466 0.1082 0.3384
0.7698 0.1082 0.6616
0.8487 0.3487 0.5000
0.9566 0.6276 0.3291
0.7058 0.7058 0.0000
0.1151 0.1240 0.4935
0.1151 0.6216 0.9911
0.3617 0.8617 0.5000
0.6306 0.1240 0.0089
0.6306 0.6216 0.5065
```

energy of formation from the pure elements	-464	meV per atom
Fermi-level density of states	13.49	states/eV/f.u.
theoretical density	6.7	Mg/m³
symmetry	No. 44


Record 5
BaOsRu: optimized geometry, PBE-GGA.

Cell and atoms, written as POSCAR:
```
BaOsRu
1.0
2.2345 -5.9393 0.0000
2.2345 5.9393 0.0000
0.0000 0.0000 5.2488
Ba Os Ru
2 2 2
Direct
0.2232 0.7768 0.7500
0.7768 0.2232 0.2500
0.0310 0.9690 0.2500
0.9690 0.0310 0.7500
0.5000 0.5000 0.0000
0.5000 0.5000 0.5000
```

energy of formation from the pure elements	428	meV per atom
distance to the lowest polymorph of the same formula	0.094	eV/atom
Fermi-level density of states	2.89	states/eV/f.u.
theoretical density	10.2	Mg/m³
symmetry	No. 63


Record 6
LiY2Ag: optimized geometry, PBE-GGA.

Cell and atoms, written as POSCAR:
```
LiY2Ag
1.0
-1.6148 2.7859 6.4344
1.6148 -2.7859 6.4344
1.6148 2.7859 -6.4344
Li Y Ag
1 2 1
Direct
0.0000 0.0000 0.0000
0.2766 0.2766 0.0000
0.7234 0.7234 0.0000
0.5000 0.5000 0.0000
```

energy of formation from the pure elements	393	meV per atom
distance to the lowest polymorph of the same formula	0.517	eV/atom
Fermi-level density of states	5.05	states/eV/f.u.
theoretical density	4.2	Mg/m³
symmetry	No. 71


Record 7
Sc2CoPt9: optimized geometry, PBE-GGA.

Cell and atoms, written as POSCAR:
```
Sc2CoPt9
1.0
3.9696 0.0000 0.0000
0.0000 3.9696 0.0000
0.0000 0.0000 11.9201
Sc Co Pt
2 1 9
Direct
0.0000 0.0000 0.1696
0.0000 0.0000 0.8304
0.0000 0.0000 0.5000
0.0000 0.5000 0.0000
0.0000 0.5000 0.3404
0.0000 0.5000 0.6596
0.5000 0.0000 0.0000
0.5000 0.0000 0.3404
0.5000 0.0000 0.6596
0.5000 0.5000 0.1697
0.5000 0.5000 0.5000
0.5000 0.5000 0.8303
```

energy of formation from the pure elements	-714	meV per atom
Fermi-level density of states	12.64	states/eV/f.u.
theoretical density	16.8	Mg/m³
symmetry	No. 123


Record 8
OsAuF3: optimized geometry, PBE-GGA.

Cell and atoms, written as POSCAR:
```
OsAuF3
1.0
4.1814 0.0000 0.0000
0.0000 4.1814 0.0000
0.0000 0.0000 4.1814
Os Au F
1 1 3
Direct
0.0000 0.0000 0.0000
0.5000 0.5000 0.5000
0.0000 0.0000 0.5000
0.0000 0.5000 0.0000
0.5000 0.0000 0.0000
```

distance to the lowest polymorph of the same formula	0.000	eV/atom
Fermi-level density of states	3.78	states/eV/f.u.
theoretical density	10.1	Mg/m³
symmetry	No. 221
formation energy (no corrections)	-247	meV per atom


Record 9
Na8SbP2: optimized geometry, PBE-GGA.

Cell and atoms, written as POSCAR:
```
Na8SbP2
1.0
-2.3642 3.8934 7.3303
2.3642 -3.8934 7.3303
2.3642 3.8934 -7.3303
Na Sb P
8 1 2
Direct
0.1167 0.3364 0.7803
0.1631 0.1631 0.0000
0.3063 0.0000 0.3063
0.4438 0.6636 0.7803
0.5562 0.3364 0.2197
0.6937 0.0000 0.6937
0.8369 0.8369 0.0000
0.8833 0.6636 0.2197
0.0000 0.5000 0.5000
0.3160 0.8160 0.5000
0.6840 0.1840 0.5000
```

distance to the lowest polymorph of the same formula	0.000	eV/atom
Fermi-level density of states	7.25	states/eV/f.u.
theoretical density	2.3	Mg/m³
symmetry	No. 71
formation energy (no corrections)	-308	meV per atom


Record 10
LaTb2In2Hg2: optimized geometry, PBE-GGA.

Cell and atoms, written as POSCAR:
```
LaTb2In2Hg2
1.0
2.4911 1.4382 9.1028
-2.4911 1.4382 9.1028
0.0000 -2.8765 9.1028
La Tb In Hg
1 2 2 2
Direct
0.0000 0.0000 0.0000
0.1330 0.1330 0.1330
0.8670 0.8670 0.8670
0.2646 0.2646 0.2646
0.7354 0.7354 0.7354
0.4311 0.4311 0.4311
0.5689 0.5689 0.5689
```

energy of formation from the pure elements	-335	meV per atom
Fermi-level density of states	4.15	states/eV/f.u.
theoretical density	9.2	Mg/m³
symmetry	No. 166


Record 11
K3LiPb2O6: optimized geometry, PBE-GGA.

Cell and atoms, written as POSCAR:
```
K3LiPb2O6
1.0
2.9354 -5.1052 0.0000
2.9354 5.1052 0.0000
-1.9293 0.0000 6.1905
K Li Pb O
3 1 2 6
Direct
0.0000 0.0000 0.0000
0.3422 0.6578 0.0000
0.6578 0.3422 0.0000
0.5000 0.5000 0.5000
0.1670 0.8330 0.5000
0.8330 0.1670 0.5000
0.0841 0.4355 0.3057
0.2161 0.2161 0.6886
0.4355 0.0841 0.3057
0.5645 0.9159 0.6943
0.7839 0.7839 0.3114
0.9159 0.5645 0.6943
```

theoretical density	5.7	Mg/m³
symmetry	No. 12
formation energy (no corrections)	-1302	meV per atom


Record 12
DyTh2ZrP4: optimized geometry, PBE-GGA.

Cell and atoms, written as POSCAR:
```
DyTh2ZrP4
1.0
6.9101 0.0000 0.0000
0.0000 4.0105 0.0000
-2.3170 0.0000 6.5616
Dy Th Zr P
1 2 1 4
Direct
0.0000 0.0000 0.0000
0.5000 0.0000 0.5000
0.5000 0.5000 0.0000
0.0000 0.5000 0.5000
0.2314 0.0000 0.7379
0.2357 0.5000 0.2516
0.7643 0.5000 0.7484
0.7686 0.0000 0.2621
```

energy of formation from the pure elements	-1497	meV per atom
Fermi-level density of states	2.70	states/eV/f.u.
theoretical density	7.7	Mg/m³
symmetry	No. 10